# MnCu2Br (GGA-PBE, relaxed)
data_MnCu2Br
_space_group_name_H-M_alt 'P 1'
_space_group_IT_number 1
_cell_length_a 4.5571
_cell_length_b 4.5571
_cell_length_c 5.4136
_cell_angle_alpha 94.40
_cell_angle_beta 94.40
_cell_angle_gamma 47.27
loop_
_space_group_symop_operation_xyz
'x,y,z'
loop_
_atom_site_label
_atom_site_type_symbol
_atom_site_fract_x
_atom_site_fract_y
_atom_site_fract_z
Br1 Br 0.2500 0.2500 0.2500
Cu1 Cu 0.0581 0.0581 0.8751
Cu2 Cu 0.4419 0.4419 0.6249
Mn1 Mn 0.7500 0.7500 0.7500
# Volume in Å³/cell: 82.29
# Symmetry: No. 12
# Excess energy over the best structure of this formula in the dataset in eV per atom: 0.155
# E_form (uncorrected) in eV/f.u.: 1.31